# AgHgSe2

A PBEsol-optimized structure of AgHgSe2 (SCAN, Alexandria).

Values from the calculation:
total DFT energy (no corrections): -139.85 eV/f.u.

Lattice parameters (Å, degrees): 5.9750 5.9750 7.3208 114.08 114.08 90.00
Atoms (fractional coordinates):
Se 0.8609 0.3750 0.2500
Se 0.3891 0.8750 0.2500
Se 0.6250 0.6109 0.7500
Se 0.1250 0.1391 0.7500
Hg 0.2500 0.7500 0.5000
Hg 0.0000 0.0000 0.0000
Ag 0.7500 0.2500 0.5000
Ag 0.5000 0.5000 0.0000


# PbBrCl2

A PBEsol-optimized structure of PbBrCl2 (SCAN, Alexandria).

Values from the calculation:
total DFT energy (no corrections): -113.70 eV/f.u.

Lattice parameters (Å, degrees): 4.1094 5.5106 5.6705 103.36 111.24 90.00
Site moments in Bohr magnetons follow the coordinates.
Atoms (fractional coordinates):
Pb 0.5343 0.4097 0.0686  0.00
Br 0.8033 0.3401 0.6065  0.23
Cl 0.9901 0.0236 0.9802  0.35
Cl 0.1723 0.7266 0.3446  0.22


# SrInCuMo2

A PBEsol-optimized structure of SrInCuMo2 (SCAN, Alexandria).

Values from the calculation:
DFT formation energy: 2.574 eV/atom

Lattice parameters (Å, degrees): 4.7339 4.8290 4.8290 90.00 90.00 90.00
Site moments in Bohr magnetons follow the coordinates.
Atoms (fractional coordinates):
Sr 0.0000 0.0000 0.0000  0.04
Mo 0.0000 0.0000 0.5000  1.81
Mo 0.0000 0.5000 0.0000  1.81
Cu 0.5000 0.0000 0.0000  0.02
In 0.5000 0.5000 0.5000  -0.08


# Li2MnTc

A PBEsol-optimized structure of Li2MnTc (SCAN, Alexandria).

Values from the calculation:
DFT formation energy: 0.290 eV/atom
relative energy among the computed polymorphs: 135.3 meV/atom

Lattice parameters (Å, degrees): 2.3955 4.3259 5.1867 91.14 90.00 106.07
Site moments in Bohr magnetons follow the coordinates.
Atoms (fractional coordinates):
Li 0.0002 0.0004 0.9858  -0.02
Li 0.2483 0.4965 0.7619  -0.01
Mn 0.5050 0.0100 0.4654  1.46
Tc 0.7465 0.4931 0.2869  -0.33


# GaFe2HgPt

A PBEsol-optimized structure of GaFe2HgPt (SCAN, Alexandria).

Values from the calculation:
DFT formation energy: 1.298 eV/atom

Lattice parameters (Å, degrees): 4.6315 4.7407 4.7407 90.00 90.00 90.00
Site moments in Bohr magnetons follow the coordinates.
Atoms (fractional coordinates):
Ga 0.5000 0.0000 0.0000  0.05
Hg 0.0000 0.0000 0.0000  -0.02
Pt 0.5000 0.5000 0.5000  0.38
Fe 0.0000 0.0000 0.5000  3.37
Fe 0.0000 0.5000 0.0000  3.37


# Fe3MoRh

A PBEsol-optimized structure of Fe3MoRh (SCAN, Alexandria).

Values from the calculation:
DFT formation energy: 1.684 eV/atom
relative energy among the computed polymorphs: 301.9 meV/atom

Lattice parameters (Å, degrees): 4.2617 4.2617 4.2617 90.00 90.00 90.00
Site moments in Bohr magnetons follow the coordinates.
Atoms (fractional coordinates):
Mo 0.0000 0.0000 0.0000  -0.82
Rh 0.5000 0.5000 0.5000  0.61
Fe 0.0000 0.5000 0.0000  2.11
Fe 0.0000 0.0000 0.5000  2.11
Fe 0.5000 0.0000 0.0000  2.11


# Mn2CdAgCl

A PBEsol-optimized structure of Mn2CdAgCl (SCAN, Alexandria).

Values from the calculation:
total DFT energy (no corrections): -103.91 eV/f.u.

Lattice parameters (Å, degrees): 4.2547 4.2547 4.9886 90.00 90.00 90.00
Site moments in Bohr magnetons follow the coordinates.
Atoms (fractional coordinates):
Cl 0.0000 0.0000 0.0000  0.05
Mn 0.0000 0.5000 0.0000  3.68
Mn 0.5000 0.0000 0.0000  3.68
Ag 0.0000 0.0000 0.5000  0.01
Cd 0.5000 0.5000 0.5000  -0.03


# LiYTc

A PBEsol-optimized structure of LiYTc (SCAN, Alexandria).

Values from the calculation:
DFT formation energy: 0.357 eV/atom
relative energy among the computed polymorphs: 0.0 meV/atom

Lattice parameters (Å, degrees): 2.8095 4.2835 5.1358 114.65 105.87 90.00
Atoms (fractional coordinates):
Li 0.0115 0.0115 0.0230
Tc 0.6618 0.6618 0.3236
Y 0.3267 0.3267 0.6534


# TcAsAu2

A PBEsol-optimized structure of TcAsAu2 (SCAN, Alexandria).

Values from the calculation:
DFT formation energy: 0.356 eV/atom

Lattice parameters (Å, degrees): 2.8502 2.8502 9.4647 81.34 81.34 60.00
Atoms (fractional coordinates):
As 0.0000 0.0000 0.0000
Au 0.2468 0.2468 0.2597
Au 0.7532 0.7532 0.7403
Tc 0.5000 0.5000 0.5000


# ZrBe2FeRh

A PBEsol-optimized structure of ZrBe2FeRh (SCAN, Alexandria).

Values from the calculation:
DFT formation energy: 0.398 eV/atom

Lattice parameters (Å, degrees): 4.1411 4.1411 4.8506 90.00 90.00 90.00
Site moments in Bohr magnetons follow the coordinates.
Atoms (fractional coordinates):
Be 0.0000 0.5000 0.0000  -0.01
Be 0.5000 0.0000 0.0000  -0.01
Rh 0.0000 0.0000 0.0000  0.03
Fe 0.5000 0.5000 0.5000  3.18
Zr 0.0000 0.0000 0.5000  -0.25


# CdCuRh

A PBEsol-optimized structure of CdCuRh (SCAN, Alexandria).

Values from the calculation:
DFT formation energy: 0.019 eV/atom
relative energy among the computed polymorphs: 0.0 meV/atom

Lattice parameters (Å, degrees): 3.0192 3.0192 5.2477 106.72 106.72 90.00
Atoms (fractional coordinates):
Rh 0.3195 0.3195 0.6390
Cu 0.6762 0.6762 0.3524
Cd 0.0043 0.0043 0.0085


# LiMgCuPt2

A PBEsol-optimized structure of LiMgCuPt2 (SCAN, Alexandria).

Values from the calculation:
DFT formation energy: -0.041 eV/atom

Lattice parameters (Å, degrees): 3.9905 4.2353 4.2353 90.00 90.00 90.00
Atoms (fractional coordinates):
Mg 0.5000 0.5000 0.5000
Cu 0.5000 0.0000 0.0000
Pt 0.0000 0.0000 0.5000
Pt 0.0000 0.5000 0.0000
Li 0.0000 0.0000 0.0000


# Mn5V2H4O12

A PBEsol-optimized structure of Mn5V2H4O12 (SCAN, Alexandria).

Values from the calculation:
total DFT energy (no corrections): -260.80 eV/f.u.

Lattice parameters (Å, degrees): 5.2914 6.6579 6.6579 89.96 85.32 85.32
Site moments in Bohr magnetons follow the coordinates.
Atoms (fractional coordinates):
H 0.1713 0.3850 0.0379  0.01
H 0.8287 0.6150 0.9621  0.01
H 0.8287 0.9621 0.6150  0.01
H 0.1713 0.0379 0.3850  0.01
Mn 0.5000 0.8161 0.1839  4.47
Mn 0.5000 0.1839 0.8161  4.47
Mn 0.0000 0.0000 0.0000  4.52
Mn 0.0000 0.6534 0.3466  4.43
Mn 0.0000 0.3466 0.6534  4.43
O 0.3659 0.5173 0.2167  0.02
O 0.6341 0.4827 0.7833  0.02
O 0.6341 0.7833 0.4827  0.02
O 0.3659 0.2167 0.5173  0.02
O 0.1410 0.2842 0.9344  0.08
O 0.8590 0.7158 0.0656  0.08
O 0.8590 0.0656 0.7158  0.08
O 0.1410 0.9344 0.2842  0.08
O 0.3793 0.8766 0.8766  0.01
O 0.6207 0.1234 0.1234  0.01
O 0.1634 0.6176 0.6176  0.00
O 0.8366 0.3824 0.3824  0.00
V 0.4527 0.6895 0.6895  0.59
V 0.5473 0.3105 0.3105  0.59


# K2CaBe

A PBEsol-optimized structure of K2CaBe (SCAN, Alexandria).

Values from the calculation:
DFT formation energy: 0.676 eV/atom

Lattice parameters (Å, degrees): 3.8828 3.8825 10.8834 90.00 90.00 90.30
Atoms (fractional coordinates):
Be 0.5000 0.5000 0.5000
Ca 0.5000 0.5000 0.0000
K 0.0000 0.0000 0.3112
K 0.0000 0.0000 0.6888


# SrHgGe3

A PBEsol-optimized structure of SrHgGe3 (SCAN, Alexandria).

Values from the calculation:
DFT formation energy: 1.293 eV/atom

Lattice parameters (Å, degrees): 5.5908 5.5908 5.5908 90.00 90.00 90.00
Site moments in Bohr magnetons follow the coordinates.
Atoms (fractional coordinates):
Sr 0.0000 0.0000 0.0000  0.18
Ge 0.0000 0.5000 0.0000  0.18
Ge 0.0000 0.0000 0.5000  0.18
Ge 0.5000 0.0000 0.0000  0.18
Hg 0.5000 0.5000 0.5000  0.02


# MoHSeN2

A PBEsol-optimized structure of MoHSeN2 (SCAN, Alexandria).

Values from the calculation:
total DFT energy (no corrections): -72.60 eV/f.u.

Lattice parameters (Å, degrees): 3.7833 3.7833 5.2006 90.00 90.00 90.00
Atoms (fractional coordinates):
H 0.5000 0.5000 0.5000
Mo 0.0000 0.0000 0.0000
Se 0.0000 0.0000 0.5000
N 0.0000 0.5000 0.0000
N 0.5000 0.0000 0.0000


# LaTaSnBr2

A PBEsol-optimized structure of LaTaSnBr2 (SCAN, Alexandria).

Values from the calculation:
total DFT energy (no corrections): -179.67 eV/f.u.

Lattice parameters (Å, degrees): 5.3755 5.3755 6.3809 90.00 90.00 90.00
Site moments in Bohr magnetons follow the coordinates.
Atoms (fractional coordinates):
La 0.0000 0.0000 0.5000  0.30
Sn 0.0000 0.0000 0.0000  0.01
Br 0.0000 0.5000 0.0000  0.02
Br 0.5000 0.0000 0.0000  0.02
Ta 0.5000 0.5000 0.5000  2.27


# TaBe4

A PBEsol-optimized structure of TaBe4 (SCAN, Alexandria).

Values from the calculation:
DFT formation energy: -0.161 eV/atom

Lattice parameters (Å, degrees): 3.3723 3.3723 4.8684 110.26 110.26 90.00
Atoms (fractional coordinates):
Be 0.7500 0.2500 0.5000
Be 0.2500 0.7500 0.5000
Be 0.6152 0.6152 0.2304
Be 0.3848 0.3848 0.7696
Ta 0.0000 0.0000 0.0000


# DyCu

A PBEsol-optimized structure of DyCu (SCAN, Alexandria).

Values from the calculation:
DFT formation energy: -0.305 eV/atom

Lattice parameters (Å, degrees): 3.4055 3.4055 3.4055 90.00 90.00 90.00
Atoms (fractional coordinates):
Cu 0.0000 0.0000 0.0000
Dy 0.5000 0.5000 0.5000


# K2Hg2Pd

A PBEsol-optimized structure of K2Hg2Pd (SCAN, Alexandria).

Values from the calculation:
DFT formation energy: -0.215 eV/atom

Lattice parameters (Å, degrees): 5.3554 7.2209 7.2209 90.00 90.00 90.00
Atoms (fractional coordinates):
K 0.5000 0.1758 0.6758
K 0.5000 0.6758 0.8242
K 0.5000 0.8242 0.3242
K 0.5000 0.3242 0.1758
Hg 0.0000 0.3515 0.8515
Hg 0.0000 0.8515 0.6485
Hg 0.0000 0.6485 0.1485
Hg 0.0000 0.1485 0.3515
Pd 0.0000 0.0000 0.0000
Pd 0.0000 0.5000 0.5000